DFT (PBEsol) results for crystalline ReTc at its relaxed geometry.

- DFT formation energy (meV/atom) = -4
- energy above the lowest structure with this stoichiometry (meV per atom) = 3

abc: 2.7374 5.1833 6.4690
angles: 104.03 90.00 105.31
Atoms (fractional coordinates):
Re  0.3321  0.6643  0.6665
Re  0.0011  0.0021  0.9983
Re  0.3890  0.7781  0.2793
Tc  0.6666  0.3332  0.3344
Tc  0.0566  0.1132  0.6099
Tc  0.7212  0.4425  0.9450